Here is a geometry-optimized Sr3Hg3Bi4 structure from Alexandria. Energies are from PBE.

Computed properties:
The magnetic moment comes out at 0.00 μB/cell. The calculation puts the uncorrected energy at -2.68 eV/atom.

Unit cell a=9.446 b=9.446 c=9.446 alpha=109.47 beta=109.47 gamma=109.47
Fractional coordinates of all 20 atoms:
Sr1 0.125 0.750 0.875
Sr2 0.250 0.625 0.375
Sr3 0.375 0.250 0.625
Sr4 0.625 0.375 0.250
Sr5 0.750 0.875 0.125
Sr6 0.875 0.125 0.750
Hg1 0.125 0.875 0.250
Hg2 0.250 0.125 0.875
Hg3 0.375 0.625 0.750
Hg4 0.625 0.750 0.375
Hg5 0.750 0.375 0.625
Hg6 0.875 0.250 0.125
Bi1 0.000 0.327 0.500
Bi2 0.000 0.827 0.500
Bi3 0.173 0.173 0.173
Bi4 0.327 0.500 0.000
Bi5 0.500 0.000 0.327
Bi6 0.500 0.000 0.827
Bi7 0.673 0.673 0.673
Bi8 0.827 0.500 0.000

=====

Here is a geometry-optimized Sr8HgBi5 structure from Alexandria. Energies are from PBE.

Computed properties:
The magnetic moment comes out at 1.04 μB/cell. The calculation puts the uncorrected energy at -3.21 eV/atom.

Unit cell a=8.863 b=8.863 c=8.863 alpha=109.44 beta=109.44 gamma=109.53
Fractional coordinates of all 14 atoms:
Sr1 0.001 0.890 0.260
Sr2 0.110 0.369 0.111
Sr3 0.119 0.377 0.596
Sr4 0.259 0.999 0.889
Sr5 0.477 0.881 0.258
Sr6 0.623 0.219 0.742
Sr7 0.631 0.741 0.740
Sr8 0.781 0.523 0.404
Hg1 0.500 0.500 0.000
Bi1 0.001 0.615 0.882
Bi2 0.250 0.750 0.500
Bi3 0.385 0.267 0.386
Bi4 0.733 0.119 0.118
Bi5 0.881 0.999 0.614

=====

Here is a geometry-optimized SrHgBi3 structure from Alexandria. Energies are from PBE.

Computed properties:
The magnetic moment comes out at 0.00 μB/cell. The calculation puts the uncorrected energy at -2.12 eV/atom. For the excess energy over the best structure of this formula in the dataset, the calculation gives 0.748 eV/atom.

Unit cell a=6.173 b=6.173 c=6.173 alpha=90.00 beta=90.00 gamma=90.00
Fractional coordinates of all 5 atoms:
Sr1 0.000 0.000 0.000
Hg1 0.500 0.500 0.500
Bi1 0.000 0.000 0.500
Bi2 0.000 0.500 0.000
Bi3 0.500 0.000 0.000

=====

Here is a geometry-optimized SrThHgBi structure from Alexandria. Energies are from PBE.

Computed properties:
The magnetic moment comes out at 0.00 μB/cell. The calculation puts the uncorrected energy at -3.66 eV/atom.

Unit cell a=5.614 b=5.614 c=5.614 alpha=60.00 beta=60.00 gamma=60.00
Fractional coordinates of all 4 atoms:
Sr1 0.000 0.000 0.000
Th1 0.500 0.500 0.500
Hg1 0.250 0.250 0.250
Bi1 0.750 0.750 0.750

=====

Here is a geometry-optimized SrTiHgBi2 structure from Alexandria. Energies are from PBE.

Computed properties:
The magnetic moment comes out at 0.00 μB/cell. The calculation puts the uncorrected energy at -3.79 eV/atom.

Unit cell a=5.465 b=5.465 c=5.397 alpha=90.00 beta=90.00 gamma=90.00
Fractional coordinates of all 5 atoms:
Sr1 0.000 0.000 0.000
Ti1 0.500 0.500 0.500
Hg1 0.500 0.500 0.000
Bi1 0.000 0.500 0.500
Bi2 0.500 0.000 0.500

=====

Here is a geometry-optimized SrTlHgBi structure from Alexandria. Energies are from PBE.

Computed properties:
The magnetic moment comes out at 0.00 μB/cell. The calculation puts the uncorrected energy at -2.49 eV/atom.

Unit cell a=5.725 b=5.725 c=5.725 alpha=60.00 beta=60.00 gamma=60.00
Fractional coordinates of all 4 atoms:
Sr1 0.000 0.000 0.000
Tl1 0.500 0.500 0.500
Hg1 0.250 0.250 0.250
Bi1 0.750 0.750 0.750

=====

Here is a geometry-optimized SrTl2HgBi2 structure from Alexandria. Energies are from PBE.

Computed properties:
The magnetic moment comes out at 0.00 μB/cell. The calculation puts the uncorrected energy at -2.71 eV/atom.

Unit cell a=4.917 b=10.194 c=8.193 alpha=90.00 beta=90.00 gamma=90.00
Fractional coordinates of all 12 atoms:
Sr1 0.000 0.043 0.000
Sr2 0.000 0.957 0.500
Tl1 0.000 0.347 0.364
Tl2 0.000 0.653 0.864
Tl3 0.500 0.401 0.037
Tl4 0.500 0.599 0.537
Hg1 0.500 0.164 0.684
Hg2 0.500 0.836 0.184
Bi1 0.000 0.328 0.761
Bi2 0.000 0.672 0.261
Bi3 0.500 0.131 0.280
Bi4 0.500 0.869 0.780

=====

Here is a geometry-optimized SrTlHg2Bi structure from Alexandria. Energies are from PBE.

Computed properties:
The magnetic moment comes out at 0.00 μB/cell. The calculation puts the uncorrected energy at -1.96 eV/atom.

Unit cell a=9.939 b=9.939 c=5.928 alpha=90.00 beta=90.00 gamma=145.26
Fractional coordinates of all 10 atoms:
Sr1 0.149 0.851 0.750
Sr2 0.851 0.149 0.250
Tl1 0.348 0.652 0.750
Tl2 0.652 0.348 0.250
Hg1 0.253 0.253 0.000
Hg2 0.253 0.253 0.500
Hg3 0.747 0.747 0.000
Hg4 0.747 0.747 0.500
Bi1 0.249 0.751 0.250
Bi2 0.751 0.249 0.750

=====

Here is a geometry-optimized SrTl2HgBi structure from Alexandria. Energies are from PBE.

Computed properties:
The magnetic moment comes out at 0.00 μB/cell. The calculation puts the uncorrected energy at -2.40 eV/atom.

Unit cell a=8.479 b=8.479 c=6.682 alpha=90.00 beta=90.00 gamma=134.25
Fractional coordinates of all 10 atoms:
Sr1 0.241 0.759 0.750
Sr2 0.759 0.241 0.250
Tl1 0.242 0.242 0.000
Tl2 0.242 0.242 0.500
Tl3 0.758 0.758 0.000
Tl4 0.758 0.758 0.500
Hg1 0.363 0.637 0.250
Hg2 0.637 0.363 0.750
Bi1 0.169 0.831 0.250
Bi2 0.831 0.169 0.750

=====

Here is a geometry-optimized SrTmHgBi structure from Alexandria. Energies are from PBE.

Computed properties:
The magnetic moment comes out at 0.00 μB/cell. The calculation puts the uncorrected energy at -3.06 eV/atom.

Unit cell a=5.555 b=5.555 c=5.555 alpha=60.00 beta=60.00 gamma=60.00
Fractional coordinates of all 4 atoms:
Sr1 0.000 0.000 0.000
Tm1 0.500 0.500 0.500
Hg1 0.250 0.250 0.250
Bi1 0.750 0.750 0.750

=====

Here is a geometry-optimized SrZnHgBi structure from Alexandria. Energies are from PBE.

Computed properties:
The magnetic moment comes out at 0.00 μB/cell. The calculation puts the uncorrected energy at -2.09 eV/atom.

Unit cell a=5.429 b=5.429 c=5.429 alpha=60.00 beta=60.00 gamma=60.00
Fractional coordinates of all 4 atoms:
Sr1 0.000 0.000 0.000
Zn1 0.750 0.750 0.750
Hg1 0.250 0.250 0.250
Bi1 0.500 0.500 0.500

=====

Here is a geometry-optimized Sr2ZnHg4Bi2 structure from Alexandria. Energies are from PBE.

Computed properties:
The magnetic moment comes out at 0.00 μB/cell. The calculation puts the uncorrected energy at -1.86 eV/atom.

Unit cell a=7.320 b=7.320 c=7.320 alpha=122.84 beta=122.84 gamma=85.15
Fractional coordinates of all 9 atoms:
Sr1 0.250 0.750 0.500
Sr2 0.750 0.250 0.500
Zn1 0.000 0.000 0.000
Hg1 0.274 0.274 0.549
Hg2 0.274 0.726 0.000
Hg3 0.726 0.274 0.000
Hg4 0.726 0.726 0.451
Bi1 0.264 0.264 0.000
Bi2 0.736 0.736 0.000

=====

Here is a geometry-optimized Sr3Zn2Hg4Bi2 structure from Alexandria. Energies are from PBE.

Computed properties:
The magnetic moment comes out at 0.00 μB/cell. The calculation puts the uncorrected energy at -1.82 eV/atom.

Unit cell a=14.667 b=14.667 c=14.667 alpha=160.15 beta=160.15 gamma=28.21
Fractional coordinates of all 11 atoms:
Sr1 0.000 0.000 0.000
Sr2 0.186 0.186 0.000
Sr3 0.814 0.814 0.000
Zn1 0.399 0.399 0.000
Zn2 0.601 0.601 0.000
Hg1 0.077 0.577 0.500
Hg2 0.423 0.923 0.500
Hg3 0.577 0.077 0.500
Hg4 0.923 0.423 0.500
Bi1 0.306 0.306 0.000
Bi2 0.694 0.694 0.000

=====

Here is a geometry-optimized TaHg2Bi structure from Alexandria. Energies are from PBE.

Computed properties:
The magnetic moment comes out at 0.00 μB/cell. The calculation puts the uncorrected energy at -3.44 eV/atom.

Unit cell a=6.539 b=6.539 c=6.539 alpha=101.27 beta=101.27 gamma=127.53
Fractional coordinates of all 8 atoms:
Ta1 0.000 0.000 0.000
Ta2 0.750 0.250 0.500
Hg1 0.093 0.625 0.968
Hg2 0.375 0.343 0.468
Hg3 0.657 0.125 0.032
Hg4 0.875 0.907 0.532
Bi1 0.250 0.750 0.500
Bi2 0.500 0.500 0.000

=====

Here is a geometry-optimized Ta3HgBi structure from Alexandria. Energies are from PBE.

Computed properties:
The magnetic moment comes out at 0.00 μB/cell. The calculation puts the uncorrected energy at -5.66 eV/atom. For the excess energy over the best structure of this formula in the dataset, the calculation gives 0.334 eV/atom.

Unit cell a=5.140 b=5.140 c=5.140 alpha=90.00 beta=90.00 gamma=90.00
Fractional coordinates of all 5 atoms:
Ta1 0.000 0.000 0.500
Ta2 0.000 0.500 0.000
Ta3 0.500 0.000 0.000
Hg1 0.500 0.500 0.500
Bi1 0.000 0.000 0.000

=====

Here is a geometry-optimized TaHgBi2 structure from Alexandria. Energies are from PBE.

Computed properties:
The magnetic moment comes out at 0.00 μB/cell. The calculation puts the uncorrected energy at -4.38 eV/atom.

Unit cell a=12.798 b=12.798 c=12.798 alpha=14.40 beta=14.40 gamma=14.40
Fractional coordinates of all 4 atoms:
Ta1 0.000 0.000 0.000
Hg1 0.500 0.500 0.500
Bi1 0.078 0.078 0.078
Bi2 0.922 0.922 0.922

=====

Here is a geometry-optimized TaHg2Bi structure from Alexandria. Energies are from PBE.

Computed properties:
The magnetic moment comes out at 0.63 μB/cell. The calculation puts the uncorrected energy at -3.41 eV/atom.

Unit cell a=11.593 b=11.593 c=11.593 alpha=15.91 beta=15.91 gamma=15.91
Fractional coordinates of all 4 atoms:
Ta1 0.000 0.000 0.000
Hg1 0.082 0.082 0.082
Hg2 0.918 0.918 0.918
Bi1 0.500 0.500 0.500

=====

Here is a geometry-optimized Ta3HgBi structure from Alexandria. Energies are from PBE.

Computed properties:
The magnetic moment comes out at 0.00 μB/cell. The calculation puts the uncorrected energy at -6.00 eV/atom. For the excess energy over the best structure of this formula in the dataset, the calculation gives 0.000 eV/atom.

Unit cell a=5.076 b=5.076 c=5.076 alpha=90.00 beta=90.00 gamma=90.00
Fractional coordinates of all 5 atoms:
Ta1 0.000 0.000 0.500
Ta2 0.000 0.500 0.000
Ta3 0.500 0.000 0.000
Hg1 0.000 0.000 0.000
Bi1 0.500 0.500 0.500

=====

Here is a geometry-optimized TaHgBi2 structure from Alexandria. Energies are from PBE.

Computed properties:
The magnetic moment comes out at 0.00 μB/cell. The calculation puts the uncorrected energy at -4.22 eV/atom.

Unit cell a=8.030 b=8.030 c=8.030 alpha=129.25 beta=129.25 gamma=74.61
Fractional coordinates of all 8 atoms:
Ta1 0.000 0.000 0.000
Ta2 0.750 0.250 0.500
Hg1 0.250 0.750 0.500
Hg2 0.500 0.500 0.000
Bi1 0.087 0.625 0.962
Bi2 0.375 0.337 0.462
Bi3 0.663 0.125 0.038
Bi4 0.875 0.913 0.538

=====

Here is a geometry-optimized ZrTaHg2Bi structure from Alexandria. Energies are from PBE.

Computed properties:
The magnetic moment comes out at 0.58 μB/cell. The calculation puts the uncorrected energy at -3.48 eV/atom.

Unit cell a=5.381 b=5.381 c=5.563 alpha=90.00 beta=90.00 gamma=90.00
Fractional coordinates of all 5 atoms:
Zr1 0.000 0.000 0.000
Ta1 0.500 0.500 0.500
Hg1 0.000 0.500 0.000
Hg2 0.500 0.000 0.000
Bi1 0.000 0.000 0.500

=====

Here is a geometry-optimized Tb5HgBi2 structure from Alexandria. Energies are from PBE.

Computed properties:
The magnetic moment comes out at 0.00 μB/cell. The calculation puts the uncorrected energy at -4.19 eV/atom.

Unit cell a=6.575 b=6.575 c=14.484 alpha=90.00 beta=90.00 gamma=127.41
Fractional coordinates of all 16 atoms:
Tb1 0.070 0.930 0.603
Tb2 0.070 0.930 0.897
Tb3 0.378 0.622 0.550
Tb4 0.378 0.622 0.950
Tb5 0.420 0.580 0.250
Tb6 0.580 0.420 0.750
Tb7 0.622 0.378 0.050
Tb8 0.622 0.378 0.450
Tb9 0.930 0.070 0.103
Tb10 0.930 0.070 0.397
Hg1 0.289 0.711 0.750
Hg2 0.711 0.289 0.250
Bi1 0.201 0.799 0.116
Bi2 0.201 0.799 0.384
Bi3 0.799 0.201 0.616
Bi4 0.799 0.201 0.884

=====

Here is a geometry-optimized Tb3HgBi2 structure from Alexandria. Energies are from PBE.

Computed properties:
The magnetic moment comes out at 0.00 μB/cell. The calculation puts the uncorrected energy at -4.27 eV/atom.

Unit cell a=7.711 b=7.711 c=7.711 alpha=146.44 beta=131.86 gamma=59.96
Fractional coordinates of all 6 atoms:
Tb1 0.000 0.000 0.000
Tb2 0.331 0.331 0.000
Tb3 0.669 0.669 0.000
Hg1 0.500 0.000 0.500
Bi1 0.167 0.667 0.500
Bi2 0.833 0.333 0.500

=====

Here is a geometry-optimized Tb8HgBi2 structure from Alexandria. Energies are from PBE.

Computed properties:
The magnetic moment comes out at 0.00 μB/cell. The calculation puts the uncorrected energy at -4.44 eV/atom.

Unit cell a=9.460 b=9.460 c=7.038 alpha=93.63 beta=93.63 gamma=31.85
Fractional coordinates of all 11 atoms:
Tb1 0.030 0.030 0.249
Tb2 0.212 0.212 0.116
Tb3 0.335 0.335 0.591
Tb4 0.409 0.409 0.061
Tb5 0.591 0.591 0.939
Tb6 0.665 0.665 0.409
Tb7 0.788 0.788 0.884
Tb8 0.970 0.970 0.751
Hg1 0.500 0.500 0.500
Bi1 0.159 0.159 0.671
Bi2 0.841 0.841 0.329

=====

Here is a geometry-optimized Tb8Hg3Bi2 structure from Alexandria. Energies are from PBE.

Computed properties:
The magnetic moment comes out at 0.00 μB/cell. The calculation puts the uncorrected energy at -3.82 eV/atom.

Unit cell a=8.649 b=8.649 c=6.420 alpha=90.78 beta=90.78 gamma=57.83
Fractional coordinates of all 13 atoms:
Tb1 0.089 0.089 0.362
Tb2 0.091 0.682 0.147
Tb3 0.318 0.909 0.853
Tb4 0.319 0.319 0.607
Tb5 0.681 0.681 0.393
Tb6 0.682 0.091 0.147
Tb7 0.909 0.318 0.853
Tb8 0.911 0.911 0.638
Hg1 0.325 0.675 0.500
Hg2 0.500 0.500 0.000
Hg3 0.675 0.325 0.500
Bi1 0.261 0.261 0.101
Bi2 0.739 0.739 0.899